Entry 1:
VASP calculation (GGA-PBE) on NaLa2F6 after structural relaxation.

a b c (Å): 5.652 6.836 8.991
angles (deg): 90.00 124.80 90.00
Space group P2_1/c (No. 14)
Asymmetric unit:
Na  0.000  0.000  0.000
La  0.256  0.099  0.724
F  0.101  0.079  0.267
F  0.252  0.719  0.080
F  0.383  0.147  0.058

Output
Formation energy without anion corrections in eV/atom: -3.507
ΔE to the lowest computed polymorph in kcal/mol of atoms: 2.592
Total magnetization in μB/f.u.: 1.08

***

Entry 2:
VASP calculation (GGA-PBE) on CsCrRu2Au after structural relaxation.

a b c (Å): 4.542 4.542 5.269
angles (deg): 90.00 90.00 90.00
Space group P4/mmm (No. 123)
Asymmetric unit:
Cs  0.000  0.000  0.000
Cr  0.500  0.500  0.500
Ru  0.000  0.500  0.500
Au  0.500  0.500  0.000

Output
Fermi-level density of states in states/eV/cell: 7.346
Total magnetization in μB/f.u.: 0.07
DFT formation energy in eV per atom: 1.1695

***

Entry 3:
VASP calculation (GGA-PBE) on Tl8In4Hg3 after structural relaxation.

a b c (Å): 5.308 5.308 15.941
angles (deg): 90.00 90.00 90.00
Space group P-4m2 (No. 115)
Asymmetric unit:
Tl  0.000  0.000  0.242
Tl  0.000  0.500  0.107
Tl  0.000  0.500  0.619
Tl  0.500  0.500  0.246
In  0.000  0.500  0.382
In  0.000  0.500  0.886
Hg  0.000  0.000  0.500
Hg  0.500  0.500  0.000
Hg  0.500  0.500  0.500

Output
Fermi-level density of states in states/eV/cell: 8.270
Total magnetization in μB/f.u.: 0.00
DFT formation energy in eV per atom: 0.0403

***

Entry 4:
VASP calculation (GGA-PBE) on CsSr2I5 after structural relaxation.

a b c (Å): 10.392 9.278 14.605
angles (deg): 90.00 90.32 90.00
Space group P2_1/c (No. 14)
Asymmetric unit:
Cs  0.008  0.058  0.333
Sr  0.255  0.569  0.494
Sr  0.497  0.526  0.180
I  0.035  0.177  0.074
I  0.279  0.686  0.714
I  0.288  0.160  0.816
I  0.295  0.547  0.997
I  0.460  0.161  0.099

Output
Formation energy without anion corrections in eV/atom: -1.662
ΔE to the lowest computed polymorph in kcal/mol of atoms: 0.000
Fermi-level density of states in states/eV/cell: 0.000
Total magnetization in μB/f.u.: 0.00

***

Entry 5:
VASP calculation (GGA-PBE) on In4Hg8I after structural relaxation.

a b c (Å): 11.972 11.972 11.972
angles (deg): 90.00 90.00 90.00
Space group F-43m (No. 216)
Asymmetric unit:
In  0.103  0.103  0.103
Hg  0.147  0.147  0.353
Hg  0.155  0.155  0.845
I  0.000  0.000  0.500

Output
Formation energy without anion corrections in eV/atom: 0.060
Fermi-level density of states in states/eV/cell: 37.875
Total magnetization in μB/f.u.: 0.00

***

Entry 6:
VASP calculation (GGA-PBE) on PrSc5Pd6 after structural relaxation.

a b c (Å): 4.799 14.510 6.622
angles (deg): 90.00 90.00 90.00
Space group Cmmm (No. 65)
Asymmetric unit:
Pr  0.000  0.000  0.000
Sc  0.000  0.000  0.500
Sc  0.000  0.329  0.000
Sc  0.000  0.334  0.500
Pd  0.000  0.177  0.258
Pd  0.000  0.500  0.273

Output
Fermi-level density of states in states/eV/cell: 15.384
Total magnetization in μB/f.u.: 0.00
DFT formation energy in eV per atom: -0.8370

***

Entry 7:
VASP calculation (GGA-PBE) on Ce5NdSb5 after structural relaxation.

a b c (Å): 14.117 6.338 8.962
angles (deg): 90.00 108.49 90.00
Space group C2/m (No. 12)
Asymmetric unit:
Ce  0.000  0.000  0.000
Ce  0.166  0.500  0.334
Ce  0.166  0.500  0.833
Nd  0.000  0.000  0.500
Sb  0.000  0.500  0.500
Sb  0.168  0.000  0.836
Sb  0.169  0.000  0.332

Output
Formation energy without anion corrections in eV/atom: -0.848
Fermi-level density of states in states/eV/cell: 72.861
Total magnetization in μB/f.u.: 6.55

***

Entry 8:
VASP calculation (GGA-PBE) on Sm2TmPaAs4 after structural relaxation.

a b c (Å): 7.145 4.147 7.191
angles (deg): 90.00 109.45 90.00
Space group P2/m (No. 10)
Asymmetric unit:
Sm  0.000  0.000  0.000
Sm  0.500  0.500  0.000
Tm  0.000  0.500  0.500
Pa  0.500  0.000  0.500
As  0.248  0.000  0.739
As  0.253  0.500  0.260

Output
Fermi-level density of states in states/eV/cell: 5.175
Total magnetization in μB/f.u.: 0.00
DFT formation energy in eV per atom: -1.4090

***

Entry 9:
VASP calculation (GGA-PBE) on RbHfGaI6 after structural relaxation.

a b c (Å): 8.0703 8.0703 15.6854
angles (deg): 90.00 90.00 120.00
Space group P-31c (No. 163)
Asymmetric unit:
Rb  0.0000  0.0000  0.0000
Hf  0.3333  0.6667  0.2500
Ga  0.3333  0.6667  0.7500
I  0.0367  0.3855  0.1446

Output
Formation energy without anion corrections in eV/atom: -0.918
Fermi-level density of states in states/eV/cell: 0.000
Total magnetization in μB/f.u.: 0.00

***

Entry 10:
VASP calculation (GGA-PBE) on K2Au2O5 after structural relaxation.

a b c (Å): 13.609 3.931 6.535
angles (deg): 90.00 103.84 90.00
Space group C2/m (No. 12)
Asymmetric unit:
K  0.141  0.000  0.280
Au  0.085  0.500  0.787
O  0.000  0.500  0.000
O  0.112  0.000  0.853
O  0.154  0.500  0.565

Output
Formation energy without anion corrections in eV/atom: -0.377
Fermi-level density of states in states/eV/cell: 11.217
Total magnetization in μB/f.u.: 2.03

***

Entry 11:
VASP calculation (GGA-PBE) on NdDy2HoSb4 after structural relaxation.

a b c (Å): 7.649 4.419 7.649
angles (deg): 90.00 109.47 90.00
Space group P2/m (No. 10)
Asymmetric unit:
Nd  0.000  0.000  0.000
Dy  0.000  0.500  0.500
Dy  0.500  0.000  0.500
Ho  0.500  0.500  0.000
Sb  0.254  0.000  0.748
Sb  0.256  0.500  0.256

Output
Formation energy without anion corrections in eV/atom: -1.136
Fermi-level density of states in states/eV/cell: 1.071
Total magnetization in μB/f.u.: 0.00

***

Entry 12:
VASP calculation (GGA-PBE) on PmPd2Au after structural relaxation.

a b c (Å): 4.308 4.308 4.118
angles (deg): 90.00 90.00 90.00
Space group P4/mmm (No. 123)
Asymmetric unit:
Pm  0.000  0.000  0.000
Pd  0.000  0.500  0.500
Au  0.500  0.500  0.000

Output
ΔE to the lowest computed polymorph in kcal/mol of atoms: 0.000
Fermi-level density of states in states/eV/cell: 1.316
Total magnetization in μB/f.u.: 0.00
DFT formation energy in eV per atom: -0.7504

***

Entry 13:
VASP calculation (GGA-PBE) on Mg14VSi after structural relaxation.

a b c (Å): 6.2912 6.2912 9.9974
angles (deg): 90.00 90.00 120.00
Space group P-6m2 (No. 187)
Asymmetric unit:
Mg  0.0000  0.0000  0.2505
Mg  0.0107  0.5054  0.2470
Mg  0.3289  0.1645  0.0000
Mg  0.3360  0.1680  0.5000
V  0.3333  0.6667  0.5000
Si  0.3333  0.6667  0.0000

Output
Formation energy without anion corrections in eV/atom: 0.089
ΔE to the lowest computed polymorph in kcal/mol of atoms: 0.165
Fermi-level density of states in states/eV/cell: 8.903
Total magnetization in μB/f.u.: 3.37

***

Entry 14:
VASP calculation (GGA-PBE) on Ce12InIr6 after structural relaxation.

a b c (Å): 13.4005 13.4005 9.6060
angles (deg): 90.00 90.00 120.00
Space group R-3m (No. 166, hexagonal axes)
Asymmetric unit:
Ce  0.0000  0.3872  0.0000
Ce  0.0868  0.1736  0.8265
In  0.0000  0.0000  0.5000
Ir  0.0517  0.5258  0.7466

Output
Fermi-level density of states in states/eV/cell: 149.902
Total magnetization in μB/f.u.: 9.97
DFT formation energy in eV per atom: -0.3806

***

Entry 15:
VASP calculation (GGA-PBE) on MoP2AuCl after structural relaxation.

a b c (Å): 4.620 4.620 4.733
angles (deg): 90.00 90.00 90.00
Space group P4/mmm (No. 123)
Asymmetric unit:
Mo  0.000  0.000  0.000
P  0.000  0.500  0.500
Au  0.500  0.500  0.000
Cl  0.500  0.500  0.500

Output
Formation energy without anion corrections in eV/atom: 1.574
ΔE to the lowest computed polymorph in kcal/mol of atoms: 25.353
Fermi-level density of states in states/eV/cell: 3.253
Total magnetization in μB/f.u.: 3.08

***

Entry 16:
VASP calculation (GGA-PBE) on MoAsPb2 after structural relaxation.

a b c (Å): 6.564 6.564 12.474
angles (deg): 90.00 90.00 90.00
Space group I-42d (No. 122)
Asymmetric unit:
Mo  0.000  0.000  0.000
As  0.000  0.000  0.500
Pb  0.246  0.250  0.125

Output
Fermi-level density of states in states/eV/cell: 17.048
Total magnetization in μB/f.u.: 2.25
DFT formation energy in eV per atom: 1.0286

***

Entry 17:
VASP calculation (GGA-PBE) on Er3CoNi after structural relaxation.

a b c (Å): 12.904 3.666 9.448
angles (deg): 90.00 97.96 90.00
Space group C2/m (No. 12)
Asymmetric unit:
Er  0.083  0.000  0.371
Er  0.133  0.500  0.080
Er  0.155  0.500  0.711
Co  0.233  0.500  0.423
Ni  0.042  0.000  0.883

Output
ΔE to the lowest computed polymorph in kcal/mol of atoms: 0.000
Fermi-level density of states in states/eV/cell: 13.694
Total magnetization in μB/f.u.: 0.00
DFT formation energy in eV per atom: -0.2670

***

Entry 18:
VASP calculation (GGA-PBE) on Hf3ICl after structural relaxation.

a b c (Å): 4.840 4.840 4.840
angles (deg): 90.00 90.00 90.00
Space group Pm-3m (No. 221)
Asymmetric unit:
Hf  0.000  0.000  0.500
I  0.500  0.500  0.500
Cl  0.000  0.000  0.000

Output
Formation energy without anion corrections in eV/atom: 0.530
ΔE to the lowest computed polymorph in kcal/mol of atoms: 0.000
Fermi-level density of states in states/eV/cell: 7.963
Total magnetization in μB/f.u.: 0.41

***

Entry 19:
VASP calculation (GGA-PBE) on TiSn2Ir after structural relaxation.

a b c (Å): 6.681 6.681 6.681
angles (deg): 90.00 90.00 90.00
Space group Fm-3m (No. 225)
Asymmetric unit:
Ti  0.000  0.000  0.000
Sn  0.250  0.250  0.250
Ir  0.000  0.000  0.500

Output
Fermi-level density of states in states/eV/cell: 18.201
Total magnetization in μB/f.u.: 1.83
DFT formation energy in eV per atom: -0.0779

***

Entry 20:
VASP calculation (GGA-PBE) on HfTi3Cl after structural relaxation.

a b c (Å): 4.991 4.991 4.991
angles (deg): 90.00 90.00 90.00
Space group Pm-3m (No. 221)
Asymmetric unit:
Hf  0.000  0.000  0.000
Ti  0.000  0.000  0.500
Cl  0.500  0.500  0.500

Output
Formation energy without anion corrections in eV/atom: 1.291
ΔE to the lowest computed polymorph in kcal/mol of atoms: 31.343
Fermi-level density of states in states/eV/cell: 13.562
Total magnetization in μB/f.u.: 0.00